[1]
This record from the Alexandria database describes a relaxed CaHoV2O8 crystal. The functional is PBE+U. Values from VASP.

## Properties
Electronic total energy ... -7.4945 eV per atom
ρ ... 4.27 g cm⁻³

The structure in Quantum ESPRESSO input format:
```
&SYSTEM
  ibrav = 0, nat = 12, ntyp = 4
/
ATOMIC_SPECIES
Ca 40.08 Ca.upf
Ho 164.93 Ho.upf
V 50.94 V.upf
O 16.00 O.upf
ATOMIC_POSITIONS angstrom
Ca 0.0000 0.0000 0.0000
Ho -1.3391 2.7154 2.5700
V 3.0277 0.0042 2.5700
V 1.6886 2.7196 0.0000
O 1.6382 -0.4617 1.6353
O 0.3013 2.3405 0.9786
O 0.2755 -1.4115 4.1614
O 3.2264 -1.4477 3.5047
O 3.0758 3.0987 0.9786
O 4.4171 0.4700 1.6353
O 2.8289 1.4561 3.5047
O -0.2755 1.4115 4.1614
CELL_PARAMETERS angstrom
6.0553 0.0083 0.0000
-2.6782 5.4308 0.0000
-1.6886 -2.7196 5.1400
```

---

[2]
This record from the Alexandria database describes a relaxed CaHo2VO6 crystal. The functional is PBE+U. Values from VASP.

## Properties
Electronic total energy ... -7.8184 eV per atom
ρ ... 6.44 g cm⁻³

The structure in Quantum ESPRESSO input format:
```
&SYSTEM
  ibrav = 0, nat = 10, ntyp = 4
/
ATOMIC_SPECIES
Ca 40.08 Ca.upf
Ho 164.93 Ho.upf
V 50.94 V.upf
O 16.00 O.upf
ATOMIC_POSITIONS angstrom
Ca 8.4472 4.8764 2.8446
Ho 5.6174 3.2472 2.0141
Ho 2.8401 1.6176 4.5593
V 2.8049 1.6322 0.2017
O 4.5638 1.4293 1.1931
O 4.6167 5.0453 1.1492
O 7.7538 3.1551 1.1404
O 6.4210 4.5517 3.7498
O 6.3961 1.9262 3.8074
O 4.0932 3.2060 3.7344
CELL_PARAMETERS angstrom
5.6210 0.0281 0.0024
2.8346 4.8484 -0.0374
2.8190 1.5861 4.8966
```

---

[3]
This record from the Alexandria database describes a relaxed CaHoV2O6 crystal. The functional is PBE+U. Values from VASP.

## Properties
Electronic total energy ... -7.8137 eV per atom
ρ ... 5.86 g cm⁻³

The structure in Quantum ESPRESSO input format:
```
&SYSTEM
  ibrav = 0, nat = 20, ntyp = 4
/
ATOMIC_SPECIES
Ca 40.08 Ca.upf
Ho 164.93 Ho.upf
V 50.94 V.upf
O 16.00 O.upf
ATOMIC_POSITIONS angstrom
Ca 3.8870 2.7243 1.8960
Ca 1.6949 5.3480 5.7206
Ho 1.0285 5.2090 1.9235
Ho 4.5534 7.8327 5.7482
V 4.1669 0.0073 0.0011
V 4.1656 5.2937 3.8243
V 1.4150 2.6310 3.8258
V 1.4163 2.6700 -0.0003
O 4.0172 4.6766 5.8230
O 2.4932 4.3268 0.4311
O 2.4742 4.2630 3.4207
O 5.3521 3.7774 0.3779
O 5.3647 3.7328 3.4156
O 1.2024 8.4271 5.6505
O 1.5647 2.0529 1.9983
O 3.0887 6.9505 4.2558
O 3.1077 6.8867 7.2454
O 0.2172 6.3565 7.2403
O 0.2298 6.4011 4.2026
O 4.3795 5.8034 1.8258
CELL_PARAMETERS angstrom
5.5819 0.0000 0.0000
0.0000 5.3493 -0.0019
0.0000 5.2474 7.6493
```